(1)
Density functional theory data (PBE) for a geometry-optimized AcTm2Te structure.

Geometry as POSCAR:
```
AcTm2Te
1.0
3.8379 0.0000 0.0000
0.0000 3.8379 0.0000
0.0000 0.0000 8.4796
Ac Tm Te
1 2 1
Direct
0.0000 0.0000 0.0000 Ac
0.5000 0.5000 0.2915 Tm
0.5000 0.5000 0.7085 Tm
0.0000 0.0000 0.5000 Te
```

Results
Formation energy (no corrections)   -48.3 kJ per mole of atoms
Distance to the lowest polymorph of the same formula   0.000 eV per atom

(2)
Density functional theory data (PBE) for a geometry-optimized AcTmTe2 structure.

Geometry as POSCAR:
```
AcTmTe2
1.0
2.2866 1.3202 9.8554
-2.2866 1.3202 9.8554
0.0000 -2.6404 9.8554
Ac Tm Te
1 1 2
Direct
0.0000 0.0000 0.0000 Ac
0.5000 0.5000 0.5000 Tm
0.4003 0.4003 0.4003 Te
0.5997 0.5997 0.5997 Te
```

Results
Formation energy (no corrections)   -81.8 kJ per mole of atoms
Distance to the lowest polymorph of the same formula   0.494 eV per atom

(3)
Density functional theory data (PBE) for a geometry-optimized Ac3TmTe6 structure.

Geometry as POSCAR:
```
Ac3TmTe6
1.0
7.7353 0.0000 0.0000
0.0000 8.6195 0.0000
-7.2076 0.0000 11.6165
Ac Tm Te
6 2 12
Direct
0.0000 0.0000 0.0000 Ac
0.0000 0.5000 0.5000 Ac
0.3056 0.1112 0.7584 Ac
0.3056 0.3888 0.2584 Ac
0.6944 0.6112 0.7416 Ac
0.6944 0.8888 0.2416 Ac
0.5000 0.0000 0.5000 Tm
0.5000 0.5000 0.0000 Tm
0.1119 0.0479 0.2648 Te
0.1119 0.4521 0.7648 Te
0.2537 0.6722 0.0764 Te
0.2537 0.8278 0.5764 Te
0.4154 0.1884 0.0711 Te
0.4154 0.3116 0.5711 Te
0.5846 0.6884 0.4289 Te
0.5846 0.8116 0.9289 Te
0.7463 0.1722 0.4236 Te
0.7463 0.3278 0.9236 Te
0.8881 0.5479 0.2352 Te
0.8881 0.9521 0.7352 Te
```

Results
Formation energy (no corrections)   -144.6 kJ per mole of atoms
Distance to the lowest polymorph of the same formula   0.000 eV per atom

(4)
Density functional theory data (PBE) for a geometry-optimized Ac4TmTe7 structure.

Geometry as POSCAR:
```
Ac4TmTe7
1.0
7.6880 -2.2794 0.0000
7.6880 2.2794 0.0000
-3.4538 0.0000 13.0276
Ac Tm Te
4 1 7
Direct
0.0000 0.0000 0.0000 Ac
0.0984 0.0984 0.4526 Ac
0.3051 0.3051 0.2205 Ac
0.7019 0.7019 0.8228 Ac
0.8712 0.8712 0.5809 Tm
0.0338 0.0338 0.7667 Te
0.2713 0.2713 0.6643 Te
0.3386 0.3386 0.9678 Te
0.4529 0.4529 0.4849 Te
0.6619 0.6619 0.0654 Te
0.7265 0.7265 0.3742 Te
0.9623 0.9623 0.2262 Te
```

Results
Formation energy (no corrections)   -146.5 kJ per mole of atoms

(5)
Density functional theory data (PBE) for a geometry-optimized Ac4TmTe6 structure.

Geometry as POSCAR:
```
Ac4TmTe6
1.0
6.5215 3.7652 5.2451
-6.5215 3.7652 5.2451
0.0000 -7.5303 5.2451
Ac Tm Te
8 2 12
Direct
0.1368 0.7500 0.3632 Ac
0.2500 0.2500 0.2500 Ac
0.2500 0.6368 0.8632 Ac
0.3632 0.1368 0.7500 Ac
0.6368 0.8632 0.2500 Ac
0.7500 0.3632 0.1368 Ac
0.7500 0.7500 0.7500 Ac
0.8632 0.2500 0.6368 Ac
0.0000 0.0000 0.0000 Tm
0.5000 0.5000 0.5000 Tm
0.0602 0.9220 0.6857 Te
0.0780 0.3143 0.9398 Te
0.1857 0.4220 0.5602 Te
0.3143 0.9398 0.0780 Te
0.4220 0.5602 0.1857 Te
0.4398 0.8143 0.5780 Te
0.5602 0.1857 0.4220 Te
0.5780 0.4398 0.8143 Te
0.6857 0.0602 0.9220 Te
0.8143 0.5780 0.4398 Te
0.9220 0.6857 0.0602 Te
0.9398 0.0780 0.3143 Te
```

Results
Formation energy (no corrections)   -139.7 kJ per mole of atoms

(6)
Density functional theory data (PBE) for a geometry-optimized Ac2Tm2Te5 structure.

Geometry as POSCAR:
```
Ac2Tm2Te5
1.0
8.3185 -3.0012 0.0000
8.3185 3.0012 0.0000
-2.0596 0.0000 6.1523
Ac Tm Te
2 2 5
Direct
0.0969 0.0969 0.3240 Ac
0.9031 0.9031 0.6760 Ac
0.3300 0.3300 0.0603 Tm
0.6700 0.6700 0.9397 Tm
0.1355 0.1355 0.8586 Te
0.3132 0.3132 0.5158 Te
0.5000 0.5000 0.0000 Te
0.6868 0.6868 0.4842 Te
0.8645 0.8645 0.1414 Te
```

Results
Formation energy (no corrections)   -122.0 kJ per mole of atoms

(7)
Density functional theory data (PBE) for a geometry-optimized AcTmTe2 structure.

Geometry as POSCAR:
```
AcTmTe2
1.0
0.0000 3.9171 3.9171
3.9171 0.0000 3.9171
3.9171 3.9171 0.0000
Ac Tm Te
1 1 2
Direct
0.0000 0.0000 0.0000 Ac
0.5000 0.5000 0.5000 Tm
0.2500 0.2500 0.2500 Te
0.7500 0.7500 0.7500 Te
```

Results
Formation energy (no corrections)   -112.2 kJ per mole of atoms
Distance to the lowest polymorph of the same formula   0.178 eV per atom

(8)
Density functional theory data (PBE) for a geometry-optimized AcTmTe2 structure.

Geometry as POSCAR:
```
AcTmTe2
1.0
5.5209 0.0000 0.0000
0.0000 5.5209 0.0000
0.0000 0.0000 3.9595
Ac Tm Te
1 1 2
Direct
0.0000 0.0000 0.0000 Ac
0.5000 0.5000 0.0000 Tm
0.0000 0.5000 0.5000 Te
0.5000 0.0000 0.5000 Te
```

Results
Formation energy (no corrections)   -113.7 kJ per mole of atoms
Distance to the lowest polymorph of the same formula   0.163 eV per atom

(9)
Density functional theory data (PBE) for a geometry-optimized Ac4TmTe5 structure.

Geometry as POSCAR:
```
Ac4TmTe5
1.0
2.2853 1.3194 19.5906
-2.2853 1.3194 19.5906
0.0000 -2.6388 19.5906
Ac Tm Te
4 1 5
Direct
0.1041 0.1041 0.1041 Ac
0.2985 0.2985 0.2985 Ac
0.7015 0.7015 0.7015 Ac
0.8959 0.8959 0.8959 Ac
0.5000 0.5000 0.5000 Tm
0.0000 0.0000 0.0000 Te
0.1939 0.1939 0.1939 Te
0.4030 0.4030 0.4030 Te
0.5970 0.5970 0.5970 Te
0.8061 0.8061 0.8061 Te
```

Results
Formation energy (no corrections)   -137.0 kJ per mole of atoms
Distance to the lowest polymorph of the same formula   0.000 eV per atom

(10)
Density functional theory data (PBE) for a geometry-optimized AcTm4Te6 structure.

Geometry as POSCAR:
```
AcTm4Te6
1.0
2.1770 -7.0810 0.0000
2.1770 7.0810 0.0000
0.0000 0.0000 22.1775
Ac Tm Te
2 8 12
Direct
0.1532 0.8468 0.7500 Ac
0.8468 0.1532 0.2500 Ac
0.0956 0.9044 0.1216 Tm
0.0956 0.9044 0.3784 Tm
0.3547 0.6453 0.0337 Tm
0.3547 0.6453 0.4663 Tm
0.6453 0.3547 0.5337 Tm
0.6453 0.3547 0.9663 Tm
0.9044 0.0956 0.6216 Tm
0.9044 0.0956 0.8784 Tm
0.0000 0.0000 0.0000 Te
0.0000 0.0000 0.5000 Te
0.1713 0.8288 0.2500 Te
0.2620 0.7380 0.5928 Te
0.2620 0.7380 0.9072 Te
0.4555 0.5445 0.1576 Te
0.4555 0.5445 0.3424 Te
0.5445 0.4555 0.6576 Te
0.5445 0.4555 0.8424 Te
0.7380 0.2620 0.0928 Te
0.7380 0.2620 0.4072 Te
0.8288 0.1713 0.7500 Te
```

Results
Formation energy (no corrections)   -129.6 kJ per mole of atoms